The following is a DFT calculation (SCAN) of a crystal of RbGa2As2 relaxed with PBEsol.

Output
- total magnetization (μB per formula unit) = 0.0
- formation enthalpy at 0 K (eV per atom) = -0.403
- SG = I4/mmm
- crystal system = tetragonal

abc: 4.3429 4.3429 7.5593
angles: 106.69 106.69 90.00
Fractional coordinates of all 5 atoms:
As 0.3515 0.3515 0.7030
As 0.6485 0.6485 0.2970
Ga 0.7500 0.2500 0.5000
Rb 0.0000 0.0000 0.0000
Ga 0.2500 0.7500 0.5000